! Dy2NbSi3Ir4 PBE optimized geometry; values from VASP
&SYSTEM
  ibrav = 0, nat = 10, ntyp = 4
/
ATOMIC_SPECIES
Dy 162.50 Dy.upf
Nb 92.91 Nb.upf
Si 28.09 Si.upf
Ir 192.22 Ir.upf
CELL_PARAMETERS angstrom
4.099 0.000 0.000
0.000 4.099 0.000
0.000 0.000 10.450
ATOMIC_POSITIONS crystal
Dy 0.000 0.500 0.237
Dy 0.500 0.000 0.763
Nb 0.000 0.000 0.500
Si 0.000 0.500 0.874
Si 0.500 0.000 0.126
Si 0.500 0.500 0.500
Ir 0.000 0.000 0.000
Ir 0.000 0.500 0.646
Ir 0.500 0.000 0.354
Ir 0.500 0.500 0.000
! ΔE_f (raw) ... -0.965 eV/atom
! Total magnetic moment ... 0.000 μB/f.u.